Entry 1:
Compound: HoZrHgPd
Source: the Alexandria database
Functional: PBE
Structure: optimized geometry

As for the volume: 348.6 Å³ per cell. The calculated density comes out at 10729 kg/m³. Its energy relative to the elements is -1.675 eV/f.u. Its space-group type is F-43m, No. 216.

Cell lengths 7.0381, 7.0381, 7.0381 Å; angles 90.00, 90.00, 90.00 degrees
Closest atoms and distances in Å follow each position.
Atoms (fractional coordinates):
Ho (0.0000, 0.0000, 0.0000)  4 Hg 3.05, 4 Pd 3.05
Ho (0.0000, 0.5000, 0.5000)  4 Hg 3.05, 4 Pd 3.05
Ho (0.5000, 0.0000, 0.5000)  4 Hg 3.05, 4 Pd 3.05
Ho (0.5000, 0.5000, 0.0000)  4 Hg 3.05, 4 Pd 3.05
Zr (0.0000, 0.0000, 0.5000)  4 Hg 3.05, 4 Pd 3.05
Zr (0.0000, 0.5000, 0.0000)  4 Hg 3.05, 4 Pd 3.05
Zr (0.5000, 0.0000, 0.0000)  4 Hg 3.05, 4 Pd 3.05
Zr (0.5000, 0.5000, 0.5000)  4 Hg 3.05, 4 Pd 3.05
Hg (0.2500, 0.2500, 0.7500)  4 Ho 3.05, 4 Zr 3.05
Hg (0.2500, 0.7500, 0.2500)  4 Ho 3.05, 4 Zr 3.05
Hg (0.7500, 0.2500, 0.2500)  4 Ho 3.05, 4 Zr 3.05
Hg (0.7500, 0.7500, 0.7500)  4 Ho 3.05, 4 Zr 3.05
Pd (0.2500, 0.2500, 0.2500)  4 Zr 3.05, 4 Ho 3.05
Pd (0.2500, 0.7500, 0.7500)  4 Zr 3.05, 4 Ho 3.05
Pd (0.7500, 0.2500, 0.7500)  4 Zr 3.05, 4 Ho 3.05
Pd (0.7500, 0.7500, 0.2500)  4 Zr 3.05, 4 Ho 3.05



Entry 2:
Compound: Pm2HoHg
Source: the Alexandria database
Functional: PBE
Structure: optimized geometry

As for the volume: 397.4 Å³ per cell. Its energy above the most stable polymorph in this dataset is 0.317 eV/atom. The calculated density comes out at 8218 kg/m³. Its energy relative to the elements is 0.356 eV/f.u. Its space-group type is R-3m, No. 166.

Cell lengths 3.5375, 3.5375, 36.6660 Å; angles 90.00, 90.00, 120.00 degrees
Closest atoms and distances in Å follow each position.
Atoms (fractional coordinates):
Pm (0.0000, 0.0000, 0.0888)  1 Hg 3.25, 3 Ho 3.51, 6 Pm 3.54
Pm (0.0000, 0.0000, 0.9112)  1 Hg 3.25, 3 Ho 3.51, 6 Pm 3.54
Pm (0.3333, 0.6667, 0.5779)  1 Hg 3.25, 3 Ho 3.51, 6 Pm 3.54
Pm (0.3333, 0.6667, 0.7554)  1 Hg 3.25, 3 Ho 3.51, 6 Pm 3.54
Pm (0.6667, 0.3333, 0.2446)  1 Hg 3.25, 3 Ho 3.51, 6 Pm 3.54
Pm (0.6667, 0.3333, 0.4221)  1 Hg 3.25, 3 Ho 3.51, 6 Pm 3.54
Ho (0.0000, 0.0000, 0.5000)  6 Pm 3.51, 6 Ho 3.54
Ho (0.3333, 0.6667, 0.1667)  6 Pm 3.51, 6 Ho 3.54
Ho (0.6667, 0.3333, 0.8333)  6 Pm 3.51, 6 Ho 3.54
Hg (0.0000, 0.0000, 0.0000)  2 Pm 3.25, 6 Hg 3.54
Hg (0.3333, 0.6667, 0.6667)  2 Pm 3.25, 6 Hg 3.54
Hg (0.6667, 0.3333, 0.3333)  2 Pm 3.25, 6 Hg 3.54



Entry 3:
Compound: PmHo2Hg4
Source: the Alexandria database
Functional: PBE
Structure: optimized geometry

As for the volume: 394.7 Å³ per cell. The calculated density comes out at 10747 kg/m³. Its energy relative to the elements is -2.613 eV/f.u. Its space-group type is Cmmm, No. 65.

Cell lengths 7.2256, 10.6334, 5.1369 Å; angles 90.00, 90.00, 90.00 degrees
Closest atoms and distances in Å follow each position.
Atoms (fractional coordinates):
Pm (0.0000, 0.0000, 0.0000)  8 Hg 3.21-3.23
Pm (0.5000, 0.5000, 0.0000)  8 Hg 3.21-3.23
Ho (0.0000, 0.2561, 0.5000)  8 Hg 3.07-3.36
Ho (0.0000, 0.7439, 0.5000)  8 Hg 3.07-3.36
Ho (0.5000, 0.2439, 0.5000)  8 Hg 3.07-3.36
Ho (0.5000, 0.7561, 0.5000)  8 Hg 3.07-3.36
Hg (0.2282, 0.5000, 0.5000)  4 Ho 3.07-3.36, 2 Pm 3.23, 1 Hg 3.30
Hg (0.2500, 0.2500, 0.0000)  4 Ho 3.14, 2 Pm 3.21
Hg (0.2500, 0.7500, 0.0000)  4 Ho 3.14, 2 Pm 3.21
Hg (0.2718, 0.0000, 0.5000)  4 Ho 3.07-3.36, 2 Pm 3.23, 1 Hg 3.30
Hg (0.7282, 0.0000, 0.5000)  4 Ho 3.07-3.36, 2 Pm 3.23, 1 Hg 3.30
Hg (0.7500, 0.2500, 0.0000)  4 Ho 3.14, 2 Pm 3.21
Hg (0.7500, 0.7500, 0.0000)  4 Ho 3.14, 2 Pm 3.21
Hg (0.7718, 0.5000, 0.5000)  4 Ho 3.07-3.36, 2 Pm 3.23, 1 Hg 3.30



Entry 4:
Compound: Pm2Ho2Hg3
Source: the Alexandria database
Functional: PBE
Structure: optimized geometry

As for the volume: 201.7 Å³ per cell. The calculated density comes out at 10058 kg/m³. Its energy relative to the elements is -2.237 eV/f.u. Its space-group type is R-3m, No. 166.

Cell lengths 9.0735, 9.0735, 9.0735 Å; angles 33.41, 33.41, 33.41 degrees
Closest atoms and distances in Å follow each position.
Atoms (fractional coordinates):
Pm (0.1272, 0.1272, 0.1272)  5 Hg 3.21-3.27
Pm (0.8728, 0.8728, 0.8728)  5 Hg 3.21-3.27
Ho (0.3773, 0.3773, 0.3773)  7 Hg 3.16-3.22
Ho (0.6227, 0.6227, 0.6227)  7 Hg 3.16-3.22
Hg (0.0000, 0.0000, 0.0000)  6 Ho 3.22, 2 Pm 3.27
Hg (0.2522, 0.2522, 0.2522)  4 Ho 3.16-3.21, 4 Pm 3.21-3.24
Hg (0.7478, 0.7478, 0.7478)  4 Ho 3.16-3.21, 4 Pm 3.21-3.24



Entry 5:
Compound: PmHo3Hg3
Source: the Alexandria database
Functional: PBE
Structure: optimized geometry

As for the volume: 386.0 Å³ per cell. The calculated density comes out at 10682 kg/m³. Its energy relative to the elements is -2.215 eV/f.u. Its space-group type is P6_3/m, No. 176.

Cell lengths 9.3112, 9.3112, 5.1412 Å; angles 90.00, 90.00, 120.00 degrees
Closest atoms and distances in Å follow each position.
Atoms (fractional coordinates):
Pm (0.3333, 0.6667, 0.2500)  9 Hg 3.24-3.50
Pm (0.6667, 0.3333, 0.7500)  9 Hg 3.24-3.50
Ho (0.0103, 0.7660, 0.7500)  4 Hg 3.03-3.25
Ho (0.2340, 0.2442, 0.7500)  4 Hg 3.03-3.25
Ho (0.2442, 0.0103, 0.2500)  4 Hg 3.03-3.25
Ho (0.7558, 0.9897, 0.7500)  4 Hg 3.03-3.25
Ho (0.7660, 0.7558, 0.2500)  4 Hg 3.03-3.25
Ho (0.9897, 0.2340, 0.2500)  4 Hg 3.03-3.25
Hg (0.0560, 0.4416, 0.7500)  4 Ho 3.03-3.25, 2 Hg 3.16, 1 Pm 3.24
Hg (0.3857, 0.9440, 0.7500)  4 Ho 3.03-3.25, 2 Hg 3.16, 1 Pm 3.24
Hg (0.4416, 0.3857, 0.2500)  4 Ho 3.03-3.25, 2 Hg 3.16, 1 Pm 3.24
Hg (0.5584, 0.6143, 0.7500)  4 Ho 3.03-3.25, 2 Hg 3.16, 1 Pm 3.24
Hg (0.6143, 0.0560, 0.2500)  4 Ho 3.03-3.25, 2 Hg 3.16, 1 Pm 3.24
Hg (0.9440, 0.5584, 0.2500)  4 Ho 3.03-3.25, 2 Hg 3.16, 1 Pm 3.24



Entry 6:
Compound: PmHo8Hg6
Source: the Alexandria database
Functional: PBE
Structure: optimized geometry

As for the volume: 436.3 Å³ per cell. The calculated density comes out at 10153 kg/m³. Its energy relative to the elements is -3.549 eV/f.u. Its space-group type is R-3, No. 148.

Cell lengths 8.1640, 8.1640, 8.1640 Å; angles 66.21, 66.21, 66.21 degrees
Closest atoms and distances in Å follow each position.
Atoms (fractional coordinates):
Pm (0.0000, 0.0000, 0.0000)  6 Hg 3.24
Ho (0.1157, 0.4417, 0.7824)  5 Hg 3.06-3.28
Ho (0.2176, 0.8843, 0.5583)  5 Hg 3.06-3.28
Ho (0.3319, 0.3319, 0.3319)  6 Hg 3.14-3.16
Ho (0.4417, 0.7824, 0.1157)  5 Hg 3.06-3.28
Ho (0.5583, 0.2176, 0.8843)  5 Hg 3.06-3.28
Ho (0.6681, 0.6681, 0.6681)  6 Hg 3.14-3.16
Ho (0.7824, 0.1157, 0.4417)  5 Hg 3.06-3.28
Ho (0.8843, 0.5583, 0.2176)  5 Hg 3.06-3.28
Hg (0.0593, 0.7187, 0.3997)  7 Ho 3.06-3.28, 1 Pm 3.24
Hg (0.2813, 0.6003, 0.9407)  7 Ho 3.06-3.28, 1 Pm 3.24
Hg (0.3997, 0.0593, 0.7187)  7 Ho 3.06-3.28, 1 Pm 3.24
Hg (0.6003, 0.9407, 0.2813)  7 Ho 3.06-3.28, 1 Pm 3.24
Hg (0.7187, 0.3997, 0.0593)  7 Ho 3.06-3.28, 1 Pm 3.24
Hg (0.9407, 0.2813, 0.6003)  7 Ho 3.06-3.28, 1 Pm 3.24



Entry 7:
Compound: Pm2HoHg2
Source: the Alexandria database
Functional: PBE
Structure: optimized geometry

As for the volume: 281.7 Å³ per cell. Its energy above the most stable polymorph in this dataset is 0.000 eV/atom. The calculated density comes out at 10092 kg/m³. Its energy relative to the elements is -1.857 eV/f.u. Its space-group type is P2_1/m, No. 11.

Cell lengths 3.7734, 5.3457, 14.0928 Å; angles 90.00, 97.68, 90.00 degrees
Closest atoms and distances in Å follow each position.
Atoms (fractional coordinates):
Pm (0.0460, 0.2500, 0.0902)  8 Hg 3.28-3.36, 2 Pm 3.67
Pm (0.2335, 0.2500, 0.4686)  2 Hg 3.21, 4 Pm 3.38-3.39
Pm (0.7665, 0.7500, 0.5314)  2 Hg 3.21, 4 Pm 3.38-3.39
Pm (0.9540, 0.7500, 0.9098)  8 Hg 3.28-3.36, 2 Pm 3.67
Ho (0.1472, 0.7500, 0.2931)  6 Hg 3.19-3.28
Ho (0.8528, 0.2500, 0.7069)  6 Hg 3.19-3.28
Hg (0.3589, 0.7500, 0.7174)  4 Pm 3.21-3.29, 4 Ho 3.27-3.28
Hg (0.4449, 0.2500, 0.8911)  2 Ho 3.19, 6 Pm 3.28-3.36
Hg (0.5551, 0.7500, 0.1089)  2 Ho 3.19, 6 Pm 3.28-3.36
Hg (0.6411, 0.2500, 0.2826)  4 Pm 3.21-3.29, 4 Ho 3.27-3.28



Entry 8:
Compound: Pm2HoHg
Source: the Alexandria database
Functional: PBE
Structure: optimized geometry

As for the volume: 240.9 Å³ per cell. Its energy above the most stable polymorph in this dataset is 0.000 eV/atom. The calculated density comes out at 9036 kg/m³. Its energy relative to the elements is -0.913 eV/f.u. Its space-group type is P4/nmm, No. 129.

Cell lengths 5.2031, 5.2031, 8.8992 Å; angles 90.00, 90.00, 90.00 degrees
Closest atoms and distances in Å follow each position.
Atoms (fractional coordinates):
Pm (0.2500, 0.2500, 0.2210)  4 Hg 3.26, 4 Pm 3.60
Pm (0.2500, 0.7500, 0.5000)  8 Pm 3.60-3.68, 4 Ho 3.62
Pm (0.7500, 0.2500, 0.5000)  8 Pm 3.60-3.68, 4 Ho 3.62
Pm (0.7500, 0.7500, 0.7790)  4 Hg 3.26, 4 Pm 3.60
Ho (0.2500, 0.2500, 0.7824)  4 Hg 3.24, 4 Pm 3.62
Ho (0.7500, 0.7500, 0.2176)  4 Hg 3.24, 4 Pm 3.62
Hg (0.2500, 0.7500, 0.0000)  4 Ho 3.24, 4 Pm 3.26
Hg (0.7500, 0.2500, 0.0000)  4 Ho 3.24, 4 Pm 3.26



- Which value of energy relative to the elements does entry 8 give?
  -0.913 eV/f.u.